A plane-wave DFT calculation with GGA-PBE was carried out for crystalline SmNb4Te8 at its relaxed geometry.

## Properties
* DOS at the Fermi energy: 0.35 states/eV per atom
* space-group type: No. 12
* total DFT energy (no corrections): -0.433 Ry/atom
* size of the total moment: 0.0 μB/f.u.

a b c (Å): 7.5435 7.5301 8.9058
angles (deg): 90.00 115.18 119.96
Fractional positions:
Te 0.4794 0.2398 0.2335
Te 0.4898 0.7449 0.2339
Te 0.9944 0.7544 0.2336
Te 0.5206 0.7602 0.7665
Te 0.0056 0.2456 0.7664
Te 0.9944 0.2401 0.2335
Te 0.0056 0.7599 0.7665
Te 0.5102 0.2551 0.7661
Nb 0.0000 0.5000 0.0000
Nb 0.5000 0.0000 0.0000
Nb 0.5000 0.5000 0.0000
Nb 0.0000 0.0000 0.0000
Sm 0.0000 0.5000 0.5000


A plane-wave DFT calculation with GGA-PBE was carried out for crystalline Ce5Tl2Bi at its relaxed geometry.

## Properties
* DOS at the Fermi energy: 3.23 states/eV per atom
* space-group type: No. 140
* energy of formation: -281 meV/atom
* size of the total moment: 5.5 μB/f.u.

a b c (Å): 8.6002 8.6002 8.8343
angles (deg): 119.13 119.13 90.00
Site moments in Bohr magnetons follow the coordinates.
Fractional positions:
Ce 0.5000 0.5000 0.0000  0.94
Ce 0.8408 0.9947 0.3355  0.89
Ce 0.1592 0.0053 0.6645  0.89
Ce 0.0000 0.0000 0.0000  0.94
Ce 0.6592 0.1592 0.6645  0.89
Ce 0.9947 0.4947 0.3355  0.89
Ce 0.5053 0.6592 0.6645  0.89
Ce 0.4947 0.3408 0.3355  0.89
Ce 0.3408 0.8408 0.3355  0.89
Ce 0.0053 0.5053 0.6645  0.89
Bi 0.7500 0.7500 0.5000  -0.03
Bi 0.2500 0.2500 0.5000  -0.03
Tl 0.1287 0.3713 0.0000  -0.01
Tl 0.3713 0.8713 0.0000  -0.01
Tl 0.6287 0.1287 0.0000  -0.01
Tl 0.8713 0.6287 0.0000  -0.01


A plane-wave DFT calculation with GGA-PBE was carried out for crystalline Pm9Er11Tm4 at its relaxed geometry.

## Properties
* DOS at the Fermi energy: 1.32 states/eV per atom
* space-group type: No. 65
* energy of formation: 49 meV/atom
* size of the total moment: 0.0 μB/f.u.

a b c (Å): 3.6821 15.1263 15.1263
angles (deg): 113.18 90.00 90.00
Fractional positions:
Tm 0.5000 0.7559 0.5546
Tm 0.5000 0.5546 0.7559
Tm 0.5000 0.2441 0.4454
Tm 0.5000 0.4454 0.2441
Pm 0.5000 0.0671 0.2141
Pm 0.5000 0.7859 0.9329
Pm 0.5000 0.2141 0.0671
Pm 0.5000 0.9329 0.7859
Pm 0.5000 0.1631 0.6298
Pm 0.5000 0.3702 0.8369
Pm 0.5000 0.8369 0.3702
Pm 0.5000 0.5000 0.5000
Pm 0.5000 0.6298 0.1631
Er 0.0000 0.6325 0.3675
Er 0.0000 0.4064 0.0457
Er 0.0000 0.7088 0.7088
Er 0.0000 0.3675 0.6325
Er 0.0000 0.0000 0.0000
Er 0.0000 0.8394 0.1606
Er 0.0000 0.9543 0.5936
Er 0.0000 0.2912 0.2912
Er 0.0000 0.0457 0.4064
Er 0.0000 0.5936 0.9543
Er 0.0000 0.1606 0.8394


A plane-wave DFT calculation with GGA-PBE was carried out for crystalline NaInF3 at its relaxed geometry.

## Properties
* DOS at the Fermi energy: 0.00 states/eV per atom
* space-group type: No. 14
* size of the total moment: 0.0 μB/f.u.
* offset from the most stable computed form: 0.011 eV per atom

a b c (Å): 5.2754 7.5106 10.4131
angles (deg): 131.19 90.00 90.00
Fractional positions:
In 0.1781 0.0268 0.9168
In 0.3219 0.5268 0.4168
In 0.6781 0.4732 0.5832
In 0.8219 0.9732 0.0832
F 0.5463 0.7568 0.4057
F 0.4767 0.2392 0.1471
F 0.5233 0.7608 0.8529
F 0.5657 0.8825 0.1811
F 0.9767 0.2608 0.3529
F 0.0233 0.7392 0.6471
F 0.4537 0.2432 0.5943
F 0.9537 0.2568 0.9057
F 0.4343 0.1175 0.8189
F 0.9343 0.3825 0.6811
F 0.0657 0.6175 0.3189
F 0.0463 0.7432 0.0943
Na 0.2450 0.4382 0.8504
Na 0.7450 0.0618 0.6496
Na 0.2550 0.9382 0.3504
Na 0.7550 0.5618 0.1496